The following is a GGA-PBE calculation of MnCr2SeN after structural relaxation, from Alexandria.

Calculated values
N(E_F) = 0.550 states/eV/atom
Symmetry = No. 123
Uncorrected formation energy = 48 kJ/mol of atoms

abc: 4.770 4.770 3.481
angles: 90.00 90.00 90.00
Fractional positions:
1 Mn 0.000 0.000 0.000
2 Cr 0.000 0.500 0.000
3 Cr 0.500 0.000 0.000
4 Se 0.500 0.500 0.500
5 N 0.000 0.000 0.500


The following is a GGA-PBE calculation of MnCrSeN2 after structural relaxation, from Alexandria.

Calculated values
N(E_F) = 0.630 states/eV/atom
Symmetry = No. 123
Uncorrected formation energy = 36 kJ/mol of atoms
Relative energy among the computed polymorphs = 0 meV per atom

abc: 3.672 3.672 5.253
angles: 90.00 90.00 90.00
Fractional positions:
1 Mn 0.000 0.000 0.000
2 Cr 0.500 0.500 0.500
3 Se 0.500 0.500 0.000
4 N 0.000 0.500 0.500
5 N 0.500 0.000 0.500


The following is a GGA-PBE calculation of MnCrSe2N after structural relaxation, from Alexandria.

Calculated values
N(E_F) = 0.879 states/eV/atom
Symmetry = No. 123
Uncorrected formation energy = 25 kJ/mol of atoms
Relative energy among the computed polymorphs = 106 meV per atom

abc: 4.898 4.898 3.436
angles: 90.00 90.00 90.00
Fractional positions:
1 Mn 0.000 0.000 0.000
2 Cr 0.500 0.500 0.500
3 Se 0.000 0.500 0.000
4 Se 0.500 0.000 0.000
5 N 0.000 0.000 0.500


The following is a GGA-PBE calculation of MnCrSeN2 after structural relaxation, from Alexandria.

Calculated values
N(E_F) = 1.644 states/eV/atom
Symmetry = No. 123
Uncorrected formation energy = 86 kJ/mol of atoms
Relative energy among the computed polymorphs = 520 meV per atom

abc: 3.576 3.576 5.247
angles: 90.00 90.00 90.00
Fractional positions:
1 Mn 0.000 0.000 0.000
2 Cr 0.500 0.500 0.500
3 Se 0.000 0.000 0.500
4 N 0.000 0.500 0.000
5 N 0.500 0.000 0.000


The following is a GGA-PBE calculation of Sm2MnCrN5 after structural relaxation, from Alexandria.

Calculated values
N(E_F) = 0.201 states/eV/atom
Symmetry = No. 36
Uncorrected formation energy = -79 kJ/mol of atoms

abc: 7.092 7.092 9.780
angles: 90.00 90.00 153.44
Fractional positions:
1 Sm 0.124 0.876 0.500
2 Sm 0.134 0.866 0.137
3 Sm 0.866 0.134 0.637
4 Sm 0.876 0.124 0.000
5 Mn 0.207 0.793 0.847
6 Mn 0.793 0.207 0.347
7 Cr 0.436 0.564 0.272
8 Cr 0.564 0.436 0.772
9 N 0.052 0.948 0.859
10 N 0.295 0.705 0.477
11 N 0.313 0.687 0.210
12 N 0.344 0.656 0.829
13 N 0.496 0.504 0.120
14 N 0.504 0.496 0.620
15 N 0.656 0.344 0.329
16 N 0.687 0.313 0.710
17 N 0.705 0.295 0.977
18 N 0.948 0.052 0.359


The following is a GGA-PBE calculation of SmMnCr2N4 after structural relaxation, from Alexandria.

Calculated values
N(E_F) = 0.585 states/eV/atom
Symmetry = No. 63
Uncorrected formation energy = -51 kJ/mol of atoms

abc: 5.563 5.563 10.133
angles: 90.00 90.00 147.21
Fractional positions:
1 Sm 0.106 0.894 0.750
2 Sm 0.894 0.106 0.250
3 Mn 0.157 0.843 0.250
4 Mn 0.843 0.157 0.750
5 Cr 0.370 0.630 0.548
6 Cr 0.370 0.630 0.952
7 Cr 0.630 0.370 0.048
8 Cr 0.630 0.370 0.452
9 N 0.000 0.000 0.000
10 N 0.000 0.000 0.500
11 N 0.260 0.740 0.109
12 N 0.260 0.740 0.391
13 N 0.437 0.563 0.750
14 N 0.563 0.437 0.250
15 N 0.740 0.260 0.609
16 N 0.740 0.260 0.891